{"formula": "ZrV9Ge6", "functional": "GGA-PBE", "state": "relaxed", "cell": [[-4.856, 4.856, 2.458], [4.856, -4.856, 2.458], [4.856, 4.856, -2.458]], "species": ["Zr", "V", "V", "V", "V", "V", "V", "V", "V", "V", "Ge", "Ge", "Ge", "Ge", "Ge", "Ge"], "fractional_positions": [[0.000, 0.000, 0.000], [0.030, 0.826, 0.348], [0.174, 0.522, 0.204], [0.318, 0.970, 0.796], [0.478, 0.682, 0.652], [0.500, 0.500, 0.000], [0.522, 0.174, 0.204], [0.682, 0.478, 0.652], [0.826, 0.030, 0.348], [0.970, 0.318, 0.796], [0.000, 0.500, 0.500], [0.097, 0.097, 0.657], [0.440, 0.440, 0.343], [0.500, 0.000, 0.500], [0.560, 0.903, 0.000], [0.903, 0.560, 0.000]], "delta_e_f_ev_per_atom": -0.313, "total_energy_ev_per_cell": -123.33}

{"formula": "ZrVGe3", "functional": "GGA-PBE", "state": "relaxed", "cell": [[4.653, 0.000, 0.000], [0.000, 4.653, 0.000], [0.000, 0.000, 4.653]], "species": ["Zr", "V", "Ge", "Ge", "Ge"], "fractional_positions": [[0.000, 0.000, 0.000], [0.500, 0.500, 0.500], [0.000, 0.500, 0.500], [0.500, 0.000, 0.500], [0.500, 0.500, 0.000]], "delta_e_f_ev_per_atom": 0.302, "total_energy_ev_per_cell": -30.01}

{"formula": "ZrVGe3", "functional": "GGA-PBE", "state": "relaxed", "cell": [[5.116, 0.000, 0.000], [0.000, 5.116, 0.000], [0.000, 0.000, 5.116]], "species": ["Zr", "V", "Ge", "Ge", "Ge"], "fractional_positions": [[0.000, 0.000, 0.000], [0.500, 0.500, 0.500], [0.000, 0.000, 0.500], [0.000, 0.500, 0.000], [0.500, 0.000, 0.000]], "delta_e_f_ev_per_atom": 0.859, "total_energy_ev_per_cell": -27.22}

{"formula": "ZrVGe2", "functional": "GGA-PBE", "state": "relaxed", "cell": [[3.027, 0.000, 0.000], [0.000, 3.723, 0.000], [-1.485, 0.000, 6.025]], "species": ["Zr", "V", "Ge", "Ge"], "fractional_positions": [[0.000, 0.000, 0.000], [0.000, 0.000, 0.500], [0.492, 0.500, 0.721], [0.508, 0.500, 0.279]], "de_polymorph_mev_per_atom": 24, "delta_e_f_ev_per_atom": -0.310, "total_energy_ev_per_cell": -28.14}

{"formula": "Ge3W5", "functional": "GGA-PBE", "state": "relaxed", "cell": [[-4.943, 4.943, 2.535], [4.943, -4.943, 2.535], [4.943, 4.943, -2.535]], "species": ["Ge", "Ge", "Ge", "Ge", "Ge", "Ge", "W", "W", "W", "W", "W", "W", "W", "W", "W", "W"], "fractional_positions": [[0.170, 0.670, 0.840], [0.250, 0.250, 0.000], [0.330, 0.170, 0.500], [0.670, 0.830, 0.500], [0.750, 0.750, 0.000], [0.830, 0.330, 0.160], [0.074, 0.231, 0.305], [0.231, 0.926, 0.156], [0.250, 0.750, 0.500], [0.269, 0.426, 0.695], [0.426, 0.731, 0.156], [0.574, 0.269, 0.844], [0.731, 0.574, 0.305], [0.750, 0.250, 0.500], [0.769, 0.074, 0.844], [0.926, 0.769, 0.695]], "de_polymorph_mev_per_atom": 0, "delta_e_f_ev_per_atom": 0.182, "total_energy_ev_per_cell": -154.32}

{"formula": "GeW4", "functional": "GGA-PBE", "state": "relaxed", "cell": [[4.534, 0.000, 0.000], [0.000, 4.534, 0.000], [0.000, 0.000, 4.534]], "species": ["Ge", "W", "W", "W", "W"], "fractional_positions": [[0.000, 0.000, 0.000], [0.000, 0.000, 0.500], [0.000, 0.500, 0.000], [0.500, 0.000, 0.000], [0.500, 0.500, 0.500]], "delta_e_f_ev_per_atom": 1.809, "total_energy_ev_per_cell": -47.39}

{"formula": "Ge3W5", "functional": "GGA-PBE", "state": "relaxed", "cell": [[-3.184, 3.184, 6.189], [3.184, -3.184, 6.189], [3.184, 3.184, -6.189]], "species": ["Ge", "Ge", "Ge", "Ge", "Ge", "Ge", "W", "W", "W", "W", "W", "W", "W", "W", "W", "W"], "fractional_positions": [[0.138, 0.638, 0.776], [0.250, 0.250, 0.000], [0.362, 0.138, 0.500], [0.638, 0.862, 0.500], [0.750, 0.750, 0.000], [0.862, 0.362, 0.224], [0.000, 0.000, 0.000], [0.005, 0.175, 0.500], [0.175, 0.675, 0.170], [0.325, 0.495, 0.500], [0.495, 0.995, 0.170], [0.500, 0.500, 0.000], [0.505, 0.005, 0.830], [0.675, 0.505, 0.500], [0.825, 0.325, 0.830], [0.995, 0.825, 0.500]], "de_polymorph_mev_per_atom": 161, "delta_e_f_ev_per_atom": 0.343, "total_energy_ev_per_cell": -151.75}

{"formula": "Y2Ge2W", "functional": "GGA-PBE", "state": "relaxed", "cell": [[7.029, 0.000, 0.000], [0.000, 7.029, 0.000], [0.000, 0.000, 4.208]], "species": ["Y", "Y", "Y", "Y", "Ge", "Ge", "Ge", "Ge", "W", "W"], "fractional_positions": [[0.177, 0.323, 0.000], [0.323, 0.823, 0.000], [0.677, 0.177, 0.000], [0.823, 0.677, 0.000], [0.133, 0.633, 0.500], [0.367, 0.133, 0.500], [0.633, 0.867, 0.500], [0.867, 0.367, 0.500], [0.000, 0.000, 0.500], [0.500, 0.500, 0.500]], "delta_e_f_ev_per_atom": -0.457, "total_energy_ev_per_cell": -74.80}

{"formula": "ZnGeW3", "functional": "GGA-PBE", "state": "relaxed", "cell": [[4.605, 0.000, 0.000], [0.000, 4.605, 0.000], [0.000, 0.000, 4.605]], "species": ["Zn", "Ge", "W", "W", "W"], "fractional_positions": [[0.000, 0.000, 0.000], [0.500, 0.500, 0.500], [0.000, 0.500, 0.500], [0.500, 0.000, 0.500], [0.500, 0.500, 0.000]], "de_polymorph_mev_per_atom": 0, "delta_e_f_ev_per_atom": 1.792, "total_energy_ev_per_cell": -35.79}

{"formula": "Zn2Ge2W", "functional": "GGA-PBE", "state": "relaxed", "cell": [[6.743, 0.000, 0.000], [0.000, 6.743, 0.000], [0.000, 0.000, 3.596]], "species": ["Zn", "Zn", "Zn", "Zn", "Ge", "Ge", "Ge", "Ge", "W", "W"], "fractional_positions": [[0.156, 0.344, 0.000], [0.344, 0.844, 0.000], [0.656, 0.156, 0.000], [0.844, 0.656, 0.000], [0.148, 0.648, 0.500], [0.352, 0.148, 0.500], [0.648, 0.852, 0.500], [0.852, 0.352, 0.500], [0.000, 0.000, 0.500], [0.500, 0.500, 0.500]], "delta_e_f_ev_per_atom": 0.376, "total_energy_ev_per_cell": -45.71}

{"formula": "Zn2GeW", "functional": "GGA-PBE", "state": "relaxed", "cell": [[-3.602, 3.602, 2.531], [3.602, -3.602, 2.531], [3.602, 3.602, -2.531]], "species": ["Zn", "Zn", "Zn", "Zn", "Ge", "Ge", "W", "W"], "fractional_positions": [[0.115, 0.125, 0.490], [0.375, 0.885, 0.010], [0.635, 0.625, 0.510], [0.875, 0.365, 0.990], [0.000, 0.000, 0.000], [0.750, 0.250, 0.500], [0.250, 0.750, 0.500], [0.500, 0.500, 0.000]], "delta_e_f_ev_per_atom": 0.566, "total_energy_ev_per_cell": -35.71}

{"formula": "ZrGeW", "functional": "GGA-PBE", "state": "relaxed", "cell": [[8.215, -1.647, 0.000], [8.215, 1.647, 0.000], [-0.179, 0.000, 8.770]], "species": ["Zr", "Zr", "Zr", "Zr", "Ge", "Ge", "Ge", "Ge", "W", "W", "W", "W"], "fractional_positions": [[0.036, 0.036, 0.345], [0.404, 0.404, 0.138], [0.596, 0.596, 0.862], [0.964, 0.964, 0.655], [0.136, 0.136, 0.113], [0.136, 0.136, 0.611], [0.864, 0.864, 0.389], [0.864, 0.864, 0.887], [0.237, 0.237, 0.374], [0.242, 0.242, 0.871], [0.758, 0.758, 0.129], [0.763, 0.763, 0.626]], "delta_e_f_ev_per_atom": 0.059, "total_energy_ev_per_cell": -103.76}